1.
The following is a meta-GGA SCAN calculation of KCrSi2Au at its PBEsol-relaxed geometry, from the Alexandria database.

Cell: 4.790 4.790 5.568 Å, 90.00 90.00 90.00°
Positions (direct):
K: 0.000 0.000 0.000
Cr: 0.500 0.500 0.000
Si: 0.000 0.500 0.500
Si: 0.500 0.000 0.500
Au: 0.000 0.000 0.500

Computed properties:
uncorrected formation energy	4.02	eV/f.u.
crystal system	tetragonal
total moment	4.2	μB/cell



2.
The following is a meta-GGA SCAN calculation of La2CrAu at its PBEsol-relaxed geometry, from the Alexandria database.

Cell: 3.651 3.651 7.263 Å, 90.00 90.00 90.00°
Positions (direct):
La: 0.000 0.000 0.000
La: 0.500 0.500 0.324
Cr: 0.500 0.500 0.745
Au: 0.000 0.000 0.569

Computed properties:
formation energy from the elements	-0.2382	eV per atom
crystal system	tetragonal
total moment	3.6	μB/cell



3.
The following is a meta-GGA SCAN calculation of LaCr3Au at its PBEsol-relaxed geometry, from the Alexandria database.

Cell: 4.395 4.395 4.395 Å, 90.00 90.00 90.00°
Positions (direct):
La: 0.000 0.000 0.000
Cr: 0.000 0.000 0.500
Cr: 0.000 0.500 0.000
Cr: 0.500 0.000 0.000
Au: 0.500 0.500 0.500

Computed properties:
formation energy from the elements	1.9106	eV per atom
crystal system	cubic
total moment	5.5	μB/cell



4.
The following is a meta-GGA SCAN calculation of LaCrAu at its PBEsol-relaxed geometry, from the Alexandria database.

Cell: 5.710 5.710 5.710 Å, 144.46 141.94 53.06°
Positions (direct):
La: 0.000 0.000 0.000
Cr: 0.303 0.303 0.000
Au: 0.690 0.690 0.000

Computed properties:
formation energy from the elements	-0.3228	eV per atom
crystal system	orthorhombic
total moment	4.5	μB/cell



5.
The following is a meta-GGA SCAN calculation of Rb2LaCrAu at its PBEsol-relaxed geometry, from the Alexandria database.

Cell: 6.875 6.875 5.303 Å, 90.00 90.00 90.00°
Positions (direct):
Rb: 0.000 0.500 0.000
Rb: 0.500 0.000 0.000
La: 0.000 0.000 0.000
Cr: 0.500 0.500 0.500
Au: 0.000 0.000 0.500

Computed properties:
formation energy from the elements	0.8317	eV per atom
crystal system	tetragonal
total moment	3.3	μB/cell



6.
The following is a meta-GGA SCAN calculation of LiCr2Au at its PBEsol-relaxed geometry, from the Alexandria database.

Cell: 2.659 2.659 8.503 Å, 90.00 90.00 114.07°
Positions (direct):
Li: 0.000 0.000 0.000
Cr: 0.000 0.000 0.537
Cr: 0.500 0.500 0.728
Au: 0.500 0.500 0.259

Computed properties:
formation energy from the elements	0.1896	eV per atom
crystal system	orthorhombic
total moment	0.0	μB/cell



7.
The following is a meta-GGA SCAN calculation of LiCrAu2 at its PBEsol-relaxed geometry, from the Alexandria database.

Cell: 4.936 4.936 4.590 Å, 100.90 100.90 34.84°
Positions (direct):
Li: 0.000 0.000 0.000
Cr: 0.235 0.235 0.674
Au: 0.494 0.494 0.499
Au: 0.742 0.742 0.174

Computed properties:
formation energy from the elements	-0.3224	eV per atom
crystal system	monoclinic
total moment	4.2	μB/cell



8.
The following is a meta-GGA SCAN calculation of LiCrAu2 at its PBEsol-relaxed geometry, from the Alexandria database.

Cell: 3.079 3.106 6.341 Å, 90.00 90.00 90.00°
Positions (direct):
Li: 0.000 0.000 0.000
Cr: 0.000 0.000 0.500
Au: 0.500 0.500 0.240
Au: 0.500 0.500 0.760

Computed properties:
formation energy from the elements	-0.3611	eV per atom
crystal system	orthorhombic
total moment	4.2	μB/cell